Record 1
The following is a DFT calculation (PBE) of crystalline Cs4TeAu at its relaxed geometry.

a = 8.498 Å, b = 9.843 Å, c = 10.223 Å
α = 113.46°, β = 108.14°, γ = 99.71°
Space group P-1 (No. 2)
One atom of each set of equivalent atoms:
Cs1 0.021 0.265 0.376
Cs2 0.213 0.320 0.871
Cs3 0.378 0.938 0.141
Cs4 0.409 0.678 0.407
Te1 0.397 0.638 0.763
Au1 0.182 0.997 0.502

Properties
Excess energy over the best structure of this formula in the dataset in eV/f.u.: 0.01
Magnetic moment in μB per formula unit: 0.0
DOS at the Fermi energy in states/eV per cell: 3.98
E_form (uncorrected) in eV/atom: -0.596

***

Record 2
The following is a DFT calculation (PBE) of crystalline CsTeAu at its relaxed geometry.

a = 7.572 Å, b = 5.532 Å, c = 6.408 Å
α = 90.00°, β = 90.00°, γ = 90.00°
Space group Pmma (No. 51)
One atom of each set of equivalent atoms:
Cs1 0.250 0.000 0.234
Te1 0.250 0.500 0.782
Au1 0.000 0.500 0.500

Properties
Magnetic moment in μB per formula unit: 0.0
E_form (uncorrected) in eV/atom: -0.726

***

Record 3
The following is a DFT calculation (PBE) of crystalline CsTe4Au2 at its relaxed geometry.

a = 6.502 Å, b = 8.071 Å, c = 11.706 Å
α = 80.32°, β = 81.34°, γ = 69.69°
Space group P1 (No. 1)
One atom of each set of equivalent atoms:
Cs1 0.000 0.000 0.000
Cs2 0.078 0.570 0.451
Te1 0.083 0.469 0.093
Te2 0.258 0.180 0.704
Te3 0.260 0.666 0.753
Te4 0.390 0.094 0.236
Te5 0.631 0.679 0.174
Te6 0.687 0.095 0.415
Te7 0.825 0.485 0.781
Te8 0.842 0.015 0.668
Au1 0.483 0.404 0.186
Au2 0.551 0.333 0.729
Au3 0.556 0.834 0.722
Au4 0.923 0.256 0.259

Properties
Magnetic moment in μB per formula unit: 0.0
DOS at the Fermi energy in states/eV per cell: 4.34
E_form (uncorrected) in eV/atom: -0.287

***

Record 4
The following is a DFT calculation (PBE) of crystalline Cs2Te3Au2 at its relaxed geometry.

a = 14.150 Å, b = 5.624 Å, c = 7.865 Å
α = 90.00°, β = 110.13°, γ = 90.00°
Space group C2/m (No. 12)
One atom of each set of equivalent atoms:
Cs1 0.113 0.000 0.301
Te1 0.000 0.500 0.500
Te2 0.188 0.000 0.851
Au1 0.156 0.500 0.831

Properties
Magnetic moment in μB per formula unit: 0.0
DOS at the Fermi energy in states/eV per cell: 4.82
E_form (uncorrected) in eV/atom: -0.540

***

Record 5
The following is a DFT calculation (PBE) of crystalline CsTeAu3 at its relaxed geometry.

a = 5.800 Å, b = 5.800 Å, c = 5.800 Å
α = 90.00°, β = 90.00°, γ = 90.00°
Space group Pm-3m (No. 221)
One atom of each set of equivalent atoms:
Cs1 0.000 0.000 0.000
Te1 0.500 0.500 0.500
Au1 0.000 0.000 0.500

Properties
Excess energy over the best structure of this formula in the dataset in eV/f.u.: 6.93
Magnetic moment in μB per formula unit: 0.0
DOS at the Fermi energy in states/eV per cell: 2.39
E_form (uncorrected) in eV/atom: 1.289

***

Record 6
The following is a DFT calculation (PBE) of crystalline CsTeAu at its relaxed geometry.

a = 4.8015 Å, b = 4.8015 Å, c = 5.7108 Å
α = 90.00°, β = 90.00°, γ = 120.00°
Space group P-6m2 (No. 187)
One atom of each set of equivalent atoms:
Cs1 0.0000 0.0000 0.0000
Te1 0.3333 0.6667 0.5000
Au1 0.6667 0.3333 0.5000

Properties
Magnetic moment in μB per formula unit: 0.0
DOS at the Fermi energy in states/eV per cell: 0.24
E_form (uncorrected) in eV/atom: -0.696

***

Record 7
The following is a DFT calculation (PBE) of crystalline Cs3Te2Au at its relaxed geometry.

a = 8.977 Å, b = 12.943 Å, c = 12.039 Å
α = 90.00°, β = 110.27°, γ = 90.00°
Space group P2_1/c (No. 14)
One atom of each set of equivalent atoms:
Cs1 0.198 0.017 0.390
Cs2 0.245 0.072 0.974
Cs3 0.289 0.730 0.186
Te1 0.024 0.703 0.372
Te2 0.452 0.038 0.727
Au1 0.217 0.170 0.673

Properties
Excess energy over the best structure of this formula in the dataset in eV/f.u.: 0.00
Magnetic moment in μB per formula unit: 0.0
DOS at the Fermi energy in states/eV per cell: 0.00
E_form (uncorrected) in eV/atom: -0.909

***

Record 8
The following is a DFT calculation (PBE) of crystalline Cs12Te5Au3 at its relaxed geometry.

a = 22.226 Å, b = 22.226 Å, c = 22.226 Å
α = 90.00°, β = 90.00°, γ = 90.00°
Space group Ia-3d (No. 230)
One atom of each set of equivalent atoms:
Cs1 0.025 0.072 0.648
Te1 0.000 0.000 0.000
Te2 0.000 0.250 0.375
Au1 0.000 0.250 0.125

Properties
Magnetic moment in μB per formula unit: 1.4
DOS at the Fermi energy in states/eV per cell: 258.83
E_form (uncorrected) in eV/atom: -0.627